VASP calculation (meta-GGA SCAN) on a PBEsol-optimized structure of ScReP2Cl.

```
5
Lattice="4.534 0.000 0.000 0.000 4.534 0.000 0.000 0.000 4.895" Properties=species:S:1:pos:R:3 pbc="T T T"
Sc 0.000 0.000 0.000
Re 2.267 2.267 2.448
P 0.000 2.267 2.448
P 2.267 0.000 2.448
Cl 2.267 2.267 0.000
```

Values from the calculation:
space group: P4/mmm
DFT total energy: -22.65 eV per atom

***

VASP calculation (meta-GGA SCAN) on a PBEsol-optimized structure of ReSn2PCl.

```
5
Lattice="5.047 0.000 0.000 0.000 5.047 0.000 0.000 0.000 4.445" Properties=species:S:1:pos:R:3 pbc="T T T"
Re 0.000 0.000 0.000
Sn 0.000 2.523 2.222
Sn 2.523 0.000 2.222
P 2.523 2.523 0.000
Cl 2.523 2.523 2.222
```

Values from the calculation:
space group: P4/mmm
DFT total energy: -30.53 eV per atom

***

VASP calculation (meta-GGA SCAN) on a PBEsol-optimized structure of SrRePCl2.

```
5
Lattice="5.250 0.000 0.000 0.000 5.250 0.000 0.000 0.000 5.997" Properties=species:S:1:pos:R:3 pbc="T T T"
Sr 0.000 0.000 0.000
Re 2.625 2.625 2.998
P 0.000 0.000 2.998
Cl 0.000 2.625 0.000
Cl 2.625 0.000 0.000
```

Values from the calculation:
space group: P4/mmm
distance to the lowest polymorph of the same formula: 1.1398 eV per atom
DFT total energy: -23.39 eV per atom

***

VASP calculation (meta-GGA SCAN) on a PBEsol-optimized structure of SrRePCl2.

```
5
Lattice="4.917 0.000 0.000 0.000 4.917 0.000 0.000 0.000 4.563" Properties=species:S:1:pos:R:3 pbc="T T T"
Sr 0.000 0.000 0.000
Re 2.458 2.458 2.282
P 2.458 2.458 0.000
Cl 0.000 2.458 2.282
Cl 2.458 0.000 2.282
```

Values from the calculation:
space group: P4/mmm
distance to the lowest polymorph of the same formula: 0.0000 eV per atom
DFT total energy: -24.53 eV per atom

***

VASP calculation (meta-GGA SCAN) on a PBEsol-optimized structure of ReTePCl2.

```
5
Lattice="4.616 0.000 0.000 0.000 4.616 0.000 0.000 0.000 4.791" Properties=species:S:1:pos:R:3 pbc="T T T"
Re 0.000 0.000 0.000
Te 2.308 2.308 2.396
P 0.000 0.000 2.396
Cl 0.000 2.308 0.000
Cl 2.308 0.000 0.000
```

Values from the calculation:
space group: P4/mmm
DFT total energy: -26.47 eV per atom

***

VASP calculation (meta-GGA SCAN) on a PBEsol-optimized structure of TiRePCl2.

```
5
Lattice="4.744 0.000 0.000 0.000 4.744 0.000 0.000 0.000 4.573" Properties=species:S:1:pos:R:3 pbc="T T T"
Ti 0.000 0.000 0.000
Re 2.372 2.372 2.286
P 2.372 2.372 0.000
Cl 0.000 2.372 2.286
Cl 2.372 0.000 2.286
```

Values from the calculation:
space group: P4/mmm
DFT total energy: -22.22 eV per atom

***

The records above give, respectively, E_form (uncorrected) values of 0.17 1.73 0.56 -0.58 0.47 0.47 eV per atom.